1.
DFT (GGA-PBE) results for a relaxed TaV4Sn crystal.

- Uncorrected energy: -0.63959 Ry/atom
- Total moment: 0.01 μB/cell
- DOS at the Fermi energy: 1.846 states/eV/atom

Lattice parameters (Å, degrees): 7.182 7.182 7.182 90.00 90.00 90.00
Space group F-43m (No. 216)
Inequivalent atoms, fractional coordinates:
Ta 0.000 0.000 0.000
V 0.127 0.127 0.373
Sn 0.250 0.250 0.750


2.
DFT (GGA-PBE) results for a relaxed Y2TaVSn crystal.

- Uncorrected energy: -0.46086 Ry/atom
- Total moment: 3.61 μB/cell
- DOS at the Fermi energy: 2.091 states/eV/atom

Lattice parameters (Å, degrees): 5.576 5.576 4.845 90.00 90.00 90.00
Space group P4/mmm (No. 123)
Inequivalent atoms, fractional coordinates:
Y 0.000 0.500 0.000
Ta 0.000 0.000 0.500
V 0.500 0.500 0.500
Sn 0.500 0.500 0.000


3.
DFT (GGA-PBE) results for a relaxed Ta3SnW crystal.

- ΔE to the lowest computed polymorph: 0.0 meV/atom
- Total moment: 0.00 μB/cell
- DOS at the Fermi energy: 0.519 states/eV/atom

Lattice parameters (Å, degrees): 4.894 4.894 4.894 90.00 90.00 90.00
Space group Pm-3m (No. 221)
Inequivalent atoms, fractional coordinates:
Ta 0.000 0.000 0.500
Sn 0.500 0.500 0.500
W 0.000 0.000 0.000


4.
DFT (GGA-PBE) results for a relaxed Ta2SnW crystal.

- Uncorrected energy: -0.68680 Ry/atom
- Total moment: 0.00 μB/cell
- DOS at the Fermi energy: 0.566 states/eV/atom

Lattice parameters (Å, degrees): 7.682 7.682 5.589 90.00 90.00 90.00
Space group I-42d (No. 122)
Inequivalent atoms, fractional coordinates:
Ta 0.209 0.750 0.125
Sn 0.000 0.000 0.500
W 0.000 0.000 0.000


5.
DFT (GGA-PBE) results for a relaxed Ta2SnW crystal.

- Uncorrected energy: -0.74079 Ry/atom
- Total moment: 0.00 μB/cell
- DOS at the Fermi energy: 0.572 states/eV/atom

Lattice parameters (Å, degrees): 3.485 3.485 6.047 90.00 90.00 90.00
Space group P4/mmm (No. 123)
Inequivalent atoms, fractional coordinates:
Ta 0.000 0.000 0.236
Sn 0.500 0.500 0.500
W 0.500 0.500 0.000


6.
DFT (GGA-PBE) results for a relaxed TaSnW2 crystal.

- Uncorrected energy: -0.68441 Ry/atom
- Total moment: 0.00 μB/cell
- DOS at the Fermi energy: 1.165 states/eV/atom

Lattice parameters (Å, degrees): 7.558 7.558 5.553 90.00 90.00 90.00
Space group I-42d (No. 122)
Inequivalent atoms, fractional coordinates:
Ta 0.000 0.000 0.000
Sn 0.000 0.000 0.500
W 0.227 0.750 0.125


- What is the formula in the fourth record?
  Ta2SnW


- The highest total moment belongs to which entry?
  Y2TaVSn


- Among the records above, which one has the highest DOS at the Fermi energy?
  Y2TaVSn